Record 1
This record from the Alexandria database describes a relaxed structure of TiReN3. The functional is PBE.

Summary:
- Total magnetization: 0.000 μB/atom
- DOS(E_F): 0.318 states/eV/atom
- E_form (uncorrected): -0.475 eV/atom
- Volume: 10.7 A^3/atom

```
10
Lattice="2.929 0.000 4.786 -1.465 2.537 4.786 -1.465 -2.537 4.786" Properties=species:S:1:pos:R:3 pbc="T T T"
Re 0.000 0.000 5.010
Re 0.000 0.000 9.347
N 0.048 -1.714 5.972
N -1.508 0.815 5.972
N -1.460 -0.899 8.385
N 1.508 -0.815 8.385
N -0.048 1.714 8.385
N 1.460 0.899 5.972
Ti 0.000 0.000 2.200
Ti 0.000 0.000 12.157
```


Record 2
This record from the Alexandria database describes a relaxed structure of TlCu4Bi. The functional is PBE.

Summary:
- Total magnetization: 0.000 μB/atom
- DOS(E_F): 0.419 states/eV/atom
- Calculated total energy: -3.585 eV per atom
- Volume: 17.1 A^3/atom

```
6
Lattice="5.256 0.000 0.000 2.628 4.552 0.000 2.628 1.517 4.291" Properties=species:S:1:pos:R:3 pbc="T T T"
Tl 0.000 0.000 0.000
Bi 2.628 1.517 1.073
Cu 5.256 3.034 0.536
Cu 5.256 1.517 2.682
Cu 6.570 3.793 2.682
Cu 3.942 3.793 2.682
```


Record 3
This record from the Alexandria database describes a relaxed structure of Tm6SnSe4. The functional is PBE.

Summary:
- Total magnetization: 0.000 μB/atom
- DOS(E_F): 0.860 states/eV/atom
- E_form (uncorrected): -1.359 eV/atom
- Volume: 24.6 A^3/atom

```
22
Lattice="-3.083 0.997 2.472 1.018 -6.703 0.613 13.266 3.403 15.172" Properties=species:S:1:pos:R:3 pbc="T T T"
Tm -1.541 0.499 1.236
Tm 5.092 2.200 8.822
Tm 4.393 0.510 5.272
Tm 6.809 -2.813 12.985
Tm 9.067 -2.233 15.568
Tm 2.134 -0.069 2.689
Tm 3.509 -1.438 8.316
Tm 7.692 -0.864 9.941
Tm 11.718 0.169 14.545
Tm -0.517 -2.471 3.712
Tm 2.957 -3.413 5.064
Tm 8.245 1.111 13.193
Sn 1.597 -0.765 5.659
Sn 9.605 -1.538 12.598
Se 5.198 -2.113 10.694
Se 1.197 -4.699 3.388
Se 6.003 -0.190 7.563
Se 10.004 2.396 14.869
Se 10.869 -0.658 17.180
Se 0.332 -1.645 1.077
Se 6.629 1.531 11.009
Se 4.572 -3.833 7.248
```


Record 4
This record from the Alexandria database describes a relaxed structure of SnBiRh. The functional is PBE.

Summary:
- Total magnetization: 0.000 μB/atom
- DOS(E_F): 0.365 states/eV/atom
- Calculated total energy: -5.310 eV per atom
- Volume: 24.7 A^3/atom

```
6
Lattice="-2.233 3.135 -1.720 0.748 -2.117 -4.826 -4.213 -5.660 0.330" Properties=species:S:1:pos:R:3 pbc="T T T"
Sn -3.846 -2.720 -5.122
Sn -1.851 -1.921 -1.094
Bi -4.435 -4.161 -1.825
Bi -1.262 -0.481 -4.391
Rh -1.606 -3.051 -3.465
Rh -4.092 -1.591 -2.751
```


Record 5
This record from the Alexandria database describes a relaxed structure of TbGaNiRh. The functional is PBE.

Summary:
- Total magnetization: 0.000 μB/atom
- DOS(E_F): 0.789 states/eV/atom
- Calculated total energy: -5.758 eV per atom
- Volume: 16.6 A^3/atom

```
4
Lattice="-1.846 -3.227 2.608 2.669 -2.800 2.378 0.197 0.347 4.523" Properties=species:S:1:pos:R:3 pbc="T T T"
Rh 0.765 -4.260 7.132
Tb 0.000 0.000 0.000
Ga 0.510 -2.840 4.754
Ni 0.255 -1.420 2.377
```


Record 6
This record from the Alexandria database describes a relaxed structure of BaDy4TmS8. The functional is PBE.

Summary:
- Total magnetization: 0.000 μB/atom
- DOS(E_F): 0.249 states/eV/atom
- E_form (uncorrected): -1.964 eV/atom
- Volume: 28.0 A^3/atom

```
14
Lattice="-0.882 -3.437 7.430 -5.755 -5.762 1.214 2.187 -7.813 1.208" Properties=species:S:1:pos:R:3 pbc="T T T"
Ba -0.586 -10.275 4.303
Dy -3.873 -6.728 5.553
Dy -1.751 -6.776 1.220
Dy 0.651 -5.631 4.283
Dy 1.085 -3.937 0.622
Tm 2.164 -7.789 1.217
S -3.228 -11.175 3.572
S -0.423 -9.838 7.149
S 0.084 -7.860 2.874
S -0.878 -4.506 2.374
S -1.422 -5.905 6.224
S -4.014 -7.142 2.917
S -4.484 -8.971 6.870
S -3.431 -12.658 7.425
```